Density functional theory data (PBE-GGA) for a geometry-optimized Ba2ZrNi structure.

## Properties
* energy of formation from the pure elements: 0.31 eV per atom
* crystal system: orthorhombic

abc: 7.0024 7.0024 7.0024
angles: 148.93 130.12 59.94
Fractional positions:
Ba  0.0067  0.0067  0.0000
Ba  0.7035  0.2035  0.5000
Zr  0.3278  0.8278  0.5000
Ni  0.4620  0.4620  0.0000